#A
A relaxed structure of CaAs3Pb, computed with GGA-PBE. Values from VASP.

Cell and atoms, written as Quantum ESPRESSO input:
```
&SYSTEM
  ibrav = 0, nat = 5, ntyp = 3
/
ATOMIC_SPECIES
As 74.92 As.upf
Ca 40.08 Ca.upf
Pb 207.20 Pb.upf
ATOMIC_POSITIONS angstrom
As 0.000 0.000 2.672
As 2.672 0.000 0.000
As 0.000 2.672 0.000
Ca 0.000 0.000 0.000
Pb 2.672 2.672 2.672
CELL_PARAMETERS angstrom
5.344 0.000 0.000
0.000 5.344 0.000
0.000 0.000 5.344
```

Values from the calculation:
* volume: 153 Å³/cell
* space-group type: Pm-3m (221)
* crystal system: cubic

=====

#B
A relaxed structure of CaAs3Pb, computed with GGA-PBE. Values from VASP.

Cell and atoms, written as Quantum ESPRESSO input:
```
&SYSTEM
  ibrav = 0, nat = 5, ntyp = 3
/
ATOMIC_SPECIES
As 74.92 As.upf
Ca 40.08 Ca.upf
Pb 207.20 Pb.upf
ATOMIC_POSITIONS angstrom
As 0.000 2.698 0.000
As 2.698 0.000 0.000
As 0.000 0.000 2.698
Ca 2.698 2.698 2.698
Pb 0.000 0.000 0.000
CELL_PARAMETERS angstrom
5.396 0.000 0.000
0.000 5.396 0.000
0.000 0.000 5.396
```

Values from the calculation:
* volume: 157 Å³/cell
* space-group type: Pm-3m (221)
* crystal system: cubic

=====

Stability check: which of them is most stable? #B.